# PBE Pm3ZnTe2, relaxed
# Energy relative to the elements, uncorrected ... -1.033 eV/atom
# Polymorph energy (0 for the lowest one) ... 0 meV/atom
# Total DFT energy (no corrections) ... -28.0 eV per formula unit
# M_tot ... 0.000 μB/f.u.
data_Pm3ZnTe2
_chemical_formula_sum 'Pm6 Zn2 Te4'
_cell_length_a 4.290
_cell_length_b 6.247
_cell_length_c 13.531
_cell_angle_alpha 90.00
_cell_angle_beta 90.00
_cell_angle_gamma 90.00
_symmetry_space_group_name_H-M 'I m m m'
_symmetry_Int_Tables_number 71
_symmetry_space_group_name_Hall '-I 2 2'
loop_
_atom_site_label
_atom_site_type_symbol
_atom_site_fract_x
_atom_site_fract_y
_atom_site_fract_z
Pm1 Pm 0.000 0.000 0.000
Pm2 Pm 0.000 0.000 0.341
Zn1 Zn 0.000 0.500 0.000
Te1 Te 0.000 0.500 0.330